## BaEuDyMnO6 (PBE+U)

Data for BaEuDyMnO6 after structural relaxation.

Summary:
DFT total energy: -7.877 eV per atom
Fermi-level density of states: 8.4 states/eV/f.u.
Symmetry: F-43m, No. 216

Geometry as POSCAR:
```
BaEuDyMnO6
1.0
0.0000 4.1207 4.1207
4.1207 0.0000 4.1207
4.1207 4.1207 0.0000
Ba Eu Dy Mn O
1 1 1 1 6
direct
0.2500 0.2500 0.2500
0.7500 0.7500 0.7500
0.0000 0.0000 0.0000
0.5000 0.5000 0.5000
0.2672 0.7328 0.2672
0.7328 0.2672 0.7328
0.2672 0.7328 0.7328
0.7328 0.2672 0.2672
0.2672 0.2672 0.7328
0.7328 0.7328 0.2672
```